[1]
A plane-wave DFT calculation with PBE was carried out for RuAu2Cl after structural relaxation.

```
RuAu2Cl
1.0
0.674 -4.503 -1.182
-0.331 -3.366 3.271
-3.635 -2.987 -0.057
Cl Ru Au
1 1 2
Direct
0.000 0.000 0.000
0.500 0.500 0.500
0.250 0.250 0.250
0.750 0.750 0.750
```

Results
For the formation energy from raw total energies, the calculation gives 0.8165 eV per atom. The density of states at the Fermi level comes out at 4.5 states/eV/f.u. The total moment comes out at 0.6252 μB per atom. As for the symmetry: Fm-3m, No. 225.


[2]
A plane-wave DFT calculation with PBE was carried out for RuAuCl after structural relaxation.

```
RuAuCl
1.0
7.674 0.013 -0.007
6.766 2.876 -0.009
0.908 -1.400 2.497
Ru Au Cl
1 1 1
Direct
0.679 0.679 0.321
0.016 0.016 0.984
0.305 0.305 0.695
```

Results
For the formation energy from raw total energies, the calculation gives 0.4451 eV per atom. The density of states at the Fermi level comes out at 4.0 states/eV/f.u. The total moment comes out at 0.0763 μB per atom. As for the symmetry: Fmm2, No. 42.


[3]
A plane-wave DFT calculation with PBE was carried out for Ru2AuCl after structural relaxation.

```
Ru2AuCl
1.0
4.708 0.018 0.000
-0.880 4.626 0.000
0.000 0.000 2.881
Cl Ru Au
1 2 1
Direct
0.000 0.500 0.500
0.000 0.000 0.000
0.500 0.500 0.000
0.500 0.000 0.500
```

Results
For the formation energy from raw total energies, the calculation gives 0.9240 eV per atom. The density of states at the Fermi level comes out at 5.0 states/eV/f.u. The total moment comes out at 0.0000 μB per atom. As for the symmetry: Cmmm, No. 65.


[4]
A plane-wave DFT calculation with PBE was carried out for RuAu2Cl6 after structural relaxation.

```
RuAu2Cl6
1.0
6.010 -0.015 -0.353
-0.512 9.633 -0.244
0.045 0.023 9.650
Cl Au Ru
12 4 2
Direct
0.904 0.844 0.964
0.453 0.249 0.507
0.096 0.156 0.036
0.878 0.075 0.714
0.047 0.493 0.751
0.953 0.507 0.249
0.378 0.714 0.075
0.122 0.925 0.286
0.622 0.286 0.925
0.404 0.964 0.844
0.547 0.751 0.493
0.596 0.036 0.156
0.206 0.383 0.382
0.706 0.382 0.383
0.794 0.617 0.618
0.294 0.618 0.617
0.250 0.930 0.070
0.750 0.070 0.930
```

Results
For the formation energy from raw total energies, the calculation gives -0.3378 eV per atom. The density of states at the Fermi level comes out at 5.3 states/eV/f.u. The total moment comes out at 0.2094 μB per atom. As for the symmetry: C2/c, No. 15.